# Ac3Pr2UN6

Ac3Pr2UN6 after structural relaxation (GGA-PBE, the Alexandria database).

Crystal system: monoclinic
Formation energy without anion corrections: -1.247 eV per atom

The structure in CIF format:
```
data_Ac3Pr2UN6
_chemical_formula_sum 'Ac6 Pr4 U2 N12'
_space_group_name_H-M_alt 'C 1 2/m 1'
_space_group_IT_number 12
_space_group_name_Hall '-C 2y'
_cell_length_a 6.4293
_cell_length_b 11.1086
_cell_length_c 6.5152
_cell_angle_alpha 90.00
_cell_angle_beta 109.03
_cell_angle_gamma 90.00
loop_
_atom_site_label
_atom_site_type_symbol
_atom_site_fract_x
_atom_site_fract_y
_atom_site_fract_z
Ac1 Ac 0.0000 0.0000 0.0000
Ac2 Ac 0.0000 0.3325 0.0000
Pr1 Pr 0.0000 0.1664 0.5000
U1 U 0.0000 0.5000 0.5000
N1 N 0.2153 0.3547 0.7090
N2 N 0.2225 0.5000 0.2784
```